## Rb3V2InF9 (GGA+U)

Data for a relaxed Rb3V2InF9 crystal.

```
Rb3V2InF9
1.0
-2.1405 5.5191 -1.7694
-0.6186 -1.8152 5.8733
7.1365 3.3398 1.7839
In F Rb V
1 9 3 2
Direct
0.0000 0.0000 0.5000 In
0.5000 0.5000 0.0000 F
0.5000 0.0000 0.0000 F
0.6398 0.8199 0.2839 F
0.3602 0.1801 0.7161 F
0.8199 0.6398 0.7161 F
0.1801 0.3602 0.2839 F
0.0000 0.5000 0.0000 F
0.8199 0.1801 0.7161 F
0.1801 0.8199 0.2839 F
0.0000 0.0000 0.0000 Rb
0.6667 0.3333 0.3235 Rb
0.3333 0.6667 0.6765 Rb
0.6667 0.3333 0.8582 V
0.3333 0.6667 0.1418 V
```

Calculated values
Its total energy is -76.77 eV/cell. The total magnetization comes out at 5.00 μB per cell.